A geometry-optimized CsNbP2O8 structure. Source: Alexandria via LeMat-Bulk, functional GGA-PBE.

Lattice parameters (Å, degrees): 9.629 9.629 9.629 31.13 31.13 31.13
Sites, in units of the cell vectors:
Cs  0.000  0.000  0.000
Nb  0.500  0.500  0.500
P  0.231  0.231  0.231
P  0.769  0.769  0.769
O  0.104  0.706  0.564
O  0.285  0.285  0.285
O  0.294  0.436  0.896
O  0.436  0.896  0.294
O  0.564  0.104  0.706
O  0.706  0.564  0.104
O  0.715  0.715  0.715
O  0.896  0.294  0.436

## Properties
Energy relative to the elements, uncorrected: -55.0 kcal/mol of atoms
Energy: -7.50 eV/atom